Entry 1:
ScAs2CSe: optimized geometry, GGA-PBE.

Structure (CIF):
```
data_ScAs2CSe
_symmetry_space_group_name_H-M 'P 1'
_symmetry_Int_Tables_number 1
_symmetry_space_group_name_Hall 'P 1'
_cell_length_a 4.3007
_cell_length_b 4.3007
_cell_length_c 4.7179
_cell_angle_alpha 90.00
_cell_angle_beta 90.00
_cell_angle_gamma 90.00
loop_
_atom_site_label
_atom_site_type_symbol
_atom_site_fract_x
_atom_site_fract_y
_atom_site_fract_z
Sc1 Sc 0.5000 0.5000 0.5000
As1 As 0.0000 0.5000 0.0000
As2 As 0.5000 0.0000 0.0000
C1 C 0.0000 0.0000 0.0000
Se1 Se 0.0000 0.0000 0.5000
```

For the energy relative to the lowest polymorph listed for this composition, the calculation gives 0 meV/atom. For the total energy, the calculation gives -5.18 eV/atom. As for the uncorrected formation energy: 47.09 kJ per mole of atoms.


Entry 2:
Nd3SmFe: optimized geometry, GGA-PBE.

Structure (CIF):
```
data_Nd3SmFe
_symmetry_space_group_name_H-M 'P 1'
_symmetry_Int_Tables_number 1
_symmetry_space_group_name_Hall 'P 1'
_cell_length_a 5.4138
_cell_length_b 5.4138
_cell_length_c 5.4138
_cell_angle_alpha 90.00
_cell_angle_beta 90.00
_cell_angle_gamma 90.00
loop_
_atom_site_label
_atom_site_type_symbol
_atom_site_fract_x
_atom_site_fract_y
_atom_site_fract_z
Nd1 Nd 0.0000 0.5000 0.0000
Nd2 Nd 0.0000 0.0000 0.5000
Nd3 Nd 0.5000 0.0000 0.0000
Fe1 Fe 0.0000 0.0000 0.0000
Sm1 Sm 0.5000 0.5000 0.5000
```

For the formation enthalpy at 0 K, the calculation gives 0.210 eV/atom. For the total energy, the calculation gives -5.29 eV/atom.


Entry 3:
Ac2YP3Rh4: optimized geometry, GGA-PBE.

Structure (CIF):
```
data_Ac2YP3Rh4
_symmetry_space_group_name_H-M 'P 1'
_symmetry_Int_Tables_number 1
_symmetry_space_group_name_Hall 'P 1'
_cell_length_a 4.1310
_cell_length_b 4.1310
_cell_length_c 11.4455
_cell_angle_alpha 90.00
_cell_angle_beta 90.00
_cell_angle_gamma 90.00
loop_
_atom_site_label
_atom_site_type_symbol
_atom_site_fract_x
_atom_site_fract_y
_atom_site_fract_z
Ac1 Ac 0.5000 0.0000 0.2304
Ac2 Ac 0.0000 0.5000 0.7696
Y1 Y 0.5000 0.5000 0.5000
P1 P 0.0000 0.0000 0.5000
P2 P 0.5000 0.0000 0.8824
P3 P 0.0000 0.5000 0.1176
Rh1 Rh 0.5000 0.5000 0.0000
Rh2 Rh 0.0000 0.0000 0.0000
Rh3 Rh 0.5000 0.0000 0.6709
Rh4 Rh 0.0000 0.5000 0.3291
```

For the formation enthalpy at 0 K, the calculation gives -1.003 eV/atom. For the total energy, the calculation gives -7.03 eV/atom.


Entry 4:
Sc3TaGe: optimized geometry, GGA-PBE.

Structure (CIF):
```
data_Sc3TaGe
_symmetry_space_group_name_H-M 'P 1'
_symmetry_Int_Tables_number 1
_symmetry_space_group_name_Hall 'P 1'
_cell_length_a 5.0801
_cell_length_b 5.0801
_cell_length_c 5.0801
_cell_angle_alpha 90.00
_cell_angle_beta 90.00
_cell_angle_gamma 90.00
loop_
_atom_site_label
_atom_site_type_symbol
_atom_site_fract_x
_atom_site_fract_y
_atom_site_fract_z
Sc1 Sc 0.0000 0.5000 0.0000
Sc2 Sc 0.0000 0.0000 0.5000
Sc3 Sc 0.5000 0.0000 0.0000
Ge1 Ge 0.5000 0.5000 0.5000
Ta1 Ta 0.0000 0.0000 0.0000
```

For the formation enthalpy at 0 K, the calculation gives 0.761 eV/atom. For the energy relative to the lowest polymorph listed for this composition, the calculation gives 226 meV/atom. For the total energy, the calculation gives -6.33 eV/atom.


Entry 5:
In4OsPb: optimized geometry, GGA-PBE.

Structure (CIF):
```
data_In4OsPb
_symmetry_space_group_name_H-M 'P 1'
_symmetry_Int_Tables_number 1
_symmetry_space_group_name_Hall 'P 1'
_cell_length_a 5.9116
_cell_length_b 5.9116
_cell_length_c 5.9116
_cell_angle_alpha 60.00
_cell_angle_beta 60.00
_cell_angle_gamma 60.00
loop_
_atom_site_label
_atom_site_type_symbol
_atom_site_fract_x
_atom_site_fract_y
_atom_site_fract_z
In1 In 0.8730 0.3757 0.3757
In2 In 0.3757 0.3757 0.8730
In3 In 0.3757 0.8730 0.3757
In4 In 0.3757 0.3757 0.3757
Os1 Os 0.7500 0.7500 0.7500
Pb1 Pb 0.0000 0.0000 0.0000
```

For the formation enthalpy at 0 K, the calculation gives 0.810 eV/atom. For the total energy, the calculation gives -3.51 eV/atom.


Entry 6:
Ir2SeCl: optimized geometry, GGA-PBE.

Structure (CIF):
```
data_Ir2SeCl
_symmetry_space_group_name_H-M 'P 1'
_symmetry_Int_Tables_number 1
_symmetry_space_group_name_Hall 'P 1'
_cell_length_a 4.6038
_cell_length_b 4.6038
_cell_length_c 3.0101
_cell_angle_alpha 90.00
_cell_angle_beta 90.00
_cell_angle_gamma 97.05
loop_
_atom_site_label
_atom_site_type_symbol
_atom_site_fract_x
_atom_site_fract_y
_atom_site_fract_z
Cl1 Cl 0.0000 0.5000 0.5000
Ir1 Ir 0.0000 0.0000 0.0000
Ir2 Ir 0.5000 0.5000 0.0000
Se1 Se 0.5000 0.0000 0.5000
```

For the energy relative to the lowest polymorph listed for this composition, the calculation gives 925 meV/atom. For the total energy, the calculation gives -4.81 eV/atom. As for the uncorrected formation energy: 92.41 kJ per mole of atoms.


Entry 7:
AlV3Ge: optimized geometry, GGA-PBE.

Structure (CIF):
```
data_AlV3Ge
_symmetry_space_group_name_H-M 'P 1'
_symmetry_Int_Tables_number 1
_symmetry_space_group_name_Hall 'P 1'
_cell_length_a 4.3332
_cell_length_b 5.2705
_cell_length_c 9.2132
_cell_angle_alpha 135.25
_cell_angle_beta 103.60
_cell_angle_gamma 90.00
loop_
_atom_site_label
_atom_site_type_symbol
_atom_site_fract_x
_atom_site_fract_y
_atom_site_fract_z
Al1 Al 0.8022 0.0386 0.6044
Al2 Al 0.1978 0.9614 0.3956
V1 V 0.0067 0.7604 0.0134
V2 V 0.9933 0.2396 0.9866
V3 V 0.4045 0.1631 0.8091
V4 V 0.5955 0.8369 0.1909
V5 V 0.2070 0.4777 0.4140
V6 V 0.7930 0.5223 0.5860
Ge1 Ge 0.5993 0.3394 0.1985
Ge2 Ge 0.4007 0.6606 0.8015
```

For the formation enthalpy at 0 K, the calculation gives -0.200 eV/atom. For the energy relative to the lowest polymorph listed for this composition, the calculation gives 0 meV/atom. For the total energy, the calculation gives -7.34 eV/atom.


Entry 8:
Te2MoBr: optimized geometry, GGA-PBE.

Structure (CIF):
```
data_Te2MoBr
_symmetry_space_group_name_H-M 'P 1'
_symmetry_Int_Tables_number 1
_symmetry_space_group_name_Hall 'P 1'
_cell_length_a 9.5338
_cell_length_b 9.5338
_cell_length_c 9.5338
_cell_angle_alpha 22.47
_cell_angle_beta 22.47
_cell_angle_gamma 22.47
loop_
_atom_site_label
_atom_site_type_symbol
_atom_site_fract_x
_atom_site_fract_y
_atom_site_fract_z
Mo1 Mo 0.5000 0.5000 0.5000
Te1 Te 0.8957 0.8957 0.8957
Te2 Te 0.1043 0.1043 0.1043
Br1 Br 0.0000 0.0000 0.0000
```

For the energy relative to the lowest polymorph listed for this composition, the calculation gives 95 meV/atom. For the total energy, the calculation gives -4.69 eV/atom. As for the uncorrected formation energy: 1.07 kJ per mole of atoms.


Entry 9:
RbVI: optimized geometry, GGA-PBE.

Structure (CIF):
```
data_RbVI
_symmetry_space_group_name_H-M 'P 1'
_symmetry_Int_Tables_number 1
_symmetry_space_group_name_Hall 'P 1'
_cell_length_a 4.6537
_cell_length_b 5.8578
_cell_length_c 17.5892
_cell_angle_alpha 90.00
_cell_angle_beta 90.19
_cell_angle_gamma 90.00
loop_
_atom_site_label
_atom_site_type_symbol
_atom_site_fract_x
_atom_site_fract_y
_atom_site_fract_z
I1 I 0.0016 0.0000 0.6573
I2 I 0.9984 0.0000 0.3427
I3 I 0.0016 0.5000 0.1573
I4 I 0.9984 0.5000 0.8427
Rb1 Rb 0.4990 0.0000 0.8683
Rb2 Rb 0.5010 0.0000 0.1317
Rb3 Rb 0.4990 0.5000 0.3683
Rb4 Rb 0.5010 0.5000 0.6317
V1 V 0.1921 0.0000 0.5000
V2 V 0.8079 0.0000 0.5000
V3 V 0.1921 0.5000 0.0000
V4 V 0.8079 0.5000 0.0000
```

For the energy relative to the lowest polymorph listed for this composition, the calculation gives 61 meV/atom. For the total energy, the calculation gives -3.86 eV/atom. As for the uncorrected formation energy: 1.42 kJ per mole of atoms.


Entry 10:
SrIn2Rh: optimized geometry, GGA-PBE.

Structure (CIF):
```
data_SrIn2Rh
_symmetry_space_group_name_H-M 'P 1'
_symmetry_Int_Tables_number 1
_symmetry_space_group_name_Hall 'P 1'
_cell_length_a 5.1380
_cell_length_b 5.1380
_cell_length_c 5.1380
_cell_angle_alpha 120.97
_cell_angle_beta 120.97
_cell_angle_gamma 88.33
loop_
_atom_site_label
_atom_site_type_symbol
_atom_site_fract_x
_atom_site_fract_y
_atom_site_fract_z
In1 In 0.0000 0.0000 0.0000
In2 In 0.2500 0.7500 0.5000
Rh1 Rh 0.5000 0.5000 0.0000
Sr1 Sr 0.7500 0.2500 0.5000
```

For the formation enthalpy at 0 K, the calculation gives -0.109 eV/atom. For the total energy, the calculation gives -3.74 eV/atom.